(1)
# ZrV2MoRh, optimized geometry, DFT GGA-PBE
data_ZrV2MoRh
_cell_length_a 4.507
_cell_length_b 4.507
_cell_length_c 4.713
_cell_angle_alpha 90.00
_cell_angle_beta 90.00
_cell_angle_gamma 90.00
_space_group_name_H-M_alt 'P 4/m m m'
_space_group_IT_number 123
_space_group_name_Hall '-P 4 2'
loop_
_atom_site_label
_atom_site_fract_x
_atom_site_fract_y
_atom_site_fract_z
_atom_site_occupancy
Zr1 0.000 0.000 0.000 1
V1 0.000 0.500 0.000 1
Mo1 0.000 0.000 0.500 1
Rh1 0.500 0.500 0.500 1
# energy of formation from the pure elements: 1.8824 eV/atom
# density: 6.8 g/cm³
# uncorrected energy: -35.56 eV for the cell shown
# total magnetic moment: 0.00 μB per cell

(2)
# MoRh2W2, optimized geometry, DFT GGA-PBE
data_MoRh2W2
_cell_length_a 3.783
_cell_length_b 3.783
_cell_length_c 11.830
_cell_angle_alpha 90.00
_cell_angle_beta 90.00
_cell_angle_gamma 90.00
_space_group_name_H-M_alt 'I 4/m m m'
_space_group_IT_number 139
_space_group_name_Hall '-I 4 2'
loop_
_atom_site_label
_atom_site_fract_x
_atom_site_fract_y
_atom_site_fract_z
_atom_site_occupancy
Mo1 0.000 0.000 0.000 1
Rh1 0.000 0.000 0.399 1
W1 0.000 0.500 0.250 1
# energy of formation from the pure elements: 0.5874 eV/atom
# energy above the most stable polymorph in this dataset: 452 meV per atom
# density: 13.1 g/cm³
# uncorrected energy: -97.01 eV for the cell shown
# total magnetic moment: 0.00 μB per cell

(3)
# MoRh2W, optimized geometry, DFT GGA-PBE
data_MoRh2W
_cell_length_a 2.7769
_cell_length_b 2.7769
_cell_length_c 27.0337
_cell_angle_alpha 90.00
_cell_angle_beta 90.00
_cell_angle_gamma 120.00
_space_group_name_H-M_alt 'R -3 m'
_space_group_IT_number 166
_space_group_name_Hall '-R 3 2"'
loop_
_atom_site_label
_atom_site_fract_x
_atom_site_fract_y
_atom_site_fract_z
_atom_site_occupancy
Mo1 0.0000 0.0000 0.0000 1
Rh1 0.0000 0.0000 0.2497 1
W1 0.0000 0.0000 0.5000 1
# energy of formation from the pure elements: -0.0364 eV/atom
# energy above the most stable polymorph in this dataset: 144 meV per atom
# density: 13.4 g/cm³
# uncorrected energy: -115.90 eV for the cell shown
# total magnetic moment: 0.00 μB per cell